# PBE-GGA Ta4Si2Pt, optimized geometry
data_Ta4Si2Pt
_chemical_formula_sum 'Ta8 Si4 Pt2'
_cell_length_a 4.929
_cell_length_b 4.929
_cell_length_c 12.313
_cell_angle_alpha 90.00
_cell_angle_beta 90.00
_cell_angle_gamma 90.00
_symmetry_space_group_name_H-M 'I 4/m m m'
_symmetry_Int_Tables_number 139
_symmetry_space_group_name_Hall '-I 4 2'
loop_
_atom_site_label
_atom_site_fract_x
_atom_site_fract_y
_atom_site_fract_z
_atom_site_occupancy
Ta1 0.000 0.000 0.208 1
Ta2 0.000 0.500 0.000 1
Si1 0.000 0.000 0.407 1
Pt1 0.000 0.000 0.000 1
# Crystal system: tetragonal
# ΔE_f (raw) in eV/atom: 0.98